Entry 1:
Computed, not measured: ErInNi after structural relaxation at the PBEsol level of DFT.

a b c (Å): 3.728 7.264 7.264
angles (deg): 120.00 90.00 90.00
Positions (direct):
In 0.000 0.000 0.255
In 0.000 0.255 0.000
In 0.000 0.745 0.745
Er 0.500 0.000 0.589
Er 0.500 0.589 0.000
Er 0.500 0.411 0.411
Ni 0.000 0.333 0.667
Ni 0.000 0.667 0.333
Ni 0.500 0.000 0.000

## Properties
DOS(E_F) in states/eV per atom: 0.78
Raw total energy in eV per atom: -5.237
Total magnetization in μB/cell: 0.00



Entry 2:
Computed, not measured: Er2InNi2 after structural relaxation at the PBEsol level of DFT.

a b c (Å): 3.543 7.232 7.232
angles (deg): 90.00 90.00 90.00
Positions (direct):
Ni 0.000 0.620 0.120
Ni 0.000 0.380 0.880
Ni 0.000 0.880 0.620
Ni 0.000 0.120 0.380
Er 0.500 0.174 0.674
Er 0.500 0.826 0.326
Er 0.500 0.326 0.174
Er 0.500 0.674 0.826
In 0.000 0.000 0.000
In 0.000 0.500 0.500

## Properties
DOS(E_F) in states/eV per atom: 0.58
Raw total energy in eV per atom: -5.582
Total magnetization in μB/cell: 0.00



Entry 3:
Computed, not measured: Er2InNi2 after structural relaxation at the PBEsol level of DFT.

a b c (Å): 3.529 3.868 7.234
angles (deg): 74.49 90.00 90.00
Positions (direct):
Ni 0.000 0.801 0.397
Ni 0.000 0.199 0.603
Er 0.500 0.361 0.278
Er 0.500 0.639 0.722
In 0.000 0.000 0.000

## Properties
DOS(E_F) in states/eV per atom: 0.47
Raw total energy in eV per atom: -5.601
Total magnetization in μB/cell: 0.00



Entry 4:
Computed, not measured: ErInO3 after structural relaxation at the PBEsol level of DFT.

a b c (Å): 6.226 6.226 12.167
angles (deg): 90.00 90.00 120.00
Positions (direct):
In 0.333 0.000 0.004
In 0.667 0.000 0.504
In 0.000 0.333 0.004
In 0.667 0.667 0.004
In 0.333 0.333 0.504
In 0.000 0.667 0.504
O 0.333 0.667 0.971
O 0.000 0.000 0.540
O 0.696 0.696 0.831
O 0.000 0.635 0.675
O 0.000 0.696 0.331
O 0.696 0.000 0.331
O 0.000 0.365 0.175
O 0.000 0.000 0.040
O 0.365 0.365 0.675
O 0.000 0.304 0.831
O 0.333 0.667 0.471
O 0.667 0.333 0.471
O 0.635 0.000 0.675
O 0.365 0.000 0.175
O 0.304 0.304 0.331
O 0.667 0.333 0.971
O 0.635 0.635 0.175
O 0.304 0.000 0.831
Er 0.667 0.333 0.270
Er 0.000 0.000 0.734
Er 0.333 0.667 0.270
Er 0.333 0.667 0.770
Er 0.667 0.333 0.770
Er 0.000 0.000 0.234

## Properties
Uncorrected formation energy in kJ/mol of atoms: -254.5
DOS(E_F) in states/eV per atom: 0.00
Total magnetization in μB/cell: 0.00